Here is LiNi2S4 after structural relaxation from Alexandria. Energies are from PBE.

The calculation puts the energy above the most stable polymorph in this dataset at 0.0 meV/atom. The raw formation energy comes out at -10.34 kcal/mol of atoms.

The space group is Fd-3m (No. 227, origin choice 2) and the conventional cell measures 9.709, 9.709 and 9.709 Å, with angles of 90.00, 90.00 and 90.00 degrees. The inequivalent atoms are Li at (0.125, 0.125, 0.125), Ni at (0.000, 0.000, 0.500) and S at (0.015, 0.015, 0.735).

=====

Here is PmGa4Sn after structural relaxation from Alexandria. Energies are from PBE.

The energy relative to the elements is -0.27 eV/atom.

The space group is F-43m (No. 216) and the conventional cell measures 7.972, 7.972 and 7.972 Å, with angles of 90.00, 90.00 and 90.00 degrees. The inequivalent atoms are Pm at (0.000, 0.000, 0.000), Ga at (0.125, 0.125, 0.625) and Sn at (0.250, 0.250, 0.250).

=====

Here is FeCo2Ag after structural relaxation from Alexandria. Energies are from PBE.

The energy relative to the elements is 0.31 eV/atom. The calculation puts the energy above the most stable polymorph in this dataset at 90.5 meV/atom.

The space group is P4/mmm (No. 123) and the conventional cell measures 3.753, 3.753 and 3.653 Å, with angles of 90.00, 90.00 and 90.00 degrees. The inequivalent atoms are Fe at (0.000, 0.000, 0.000), Co at (0.000, 0.500, 0.500) and Ag at (0.500, 0.500, 0.000).

=====

Here is Y2Al2Ir after structural relaxation from Alexandria. Energies are from PBE.

The energy relative to the elements is -0.55 eV/atom.

The space group is P4/mbm (No. 127) and the conventional cell measures 6.877, 6.877 and 4.454 Å, with angles of 90.00, 90.00 and 90.00 degrees. The inequivalent atoms are Y at (0.174, 0.326, 0.000), Al at (0.135, 0.635, 0.500) and Ir at (0.000, 0.000, 0.500).

=====

Here is Pm2SnO after structural relaxation from Alexandria. Energies are from PBE.

The calculation puts the energy above the most stable polymorph in this dataset at 198.1 meV/atom. The raw formation energy comes out at -37.98 kcal/mol of atoms.

The space group is R-3m (No. 166, hexagonal axes) and the conventional cell measures 3.6693, 3.6693 and 23.3172 Å, with angles of 90.00, 90.00 and 120.00 degrees. The inequivalent atoms are Pm at (0.0000, 0.0000, 0.2248), Sn at (0.0000, 0.0000, 0.0000) and O at (0.0000, 0.0000, 0.5000).

=====

Here is SrCaBeN2 after structural relaxation from Alexandria. Energies are from PBE.

The raw formation energy comes out at -18.46 kcal/mol of atoms.

The space group is P2/c (No. 13) and the conventional cell measures 5.489, 5.020 and 6.734 Å, with angles of 90.00, 90.07 and 90.00 degrees. The inequivalent atoms are Sr at (0.000, 0.000, 0.250), Ca at (0.500, 0.500, 0.250), Be at (0.500, 0.000, 0.000) and N at (0.302, 0.218, 0.000).

=====

Here is CaIn2Au after structural relaxation from Alexandria. Energies are from PBE.

The energy relative to the elements is -0.49 eV/atom.

The space group is Pnma (No. 62) and the conventional cell measures 17.316, 7.718 and 5.890 Å, with angles of 90.00, 90.00 and 90.00 degrees. The inequivalent atoms are Ca at (0.108, 0.250, 0.231), Ca at (0.146, 0.750, 0.477), In at (0.029, 0.048, 0.735), In at (0.217, 0.551, 0.971), Au at (0.075, 0.750, 0.989) and Au at (0.167, 0.250, 0.725).

=====

Here is Ti2ReSi after structural relaxation from Alexandria. Energies are from PBE.

The raw formation energy comes out at 5.17 kcal/mol of atoms.

The space group is I-42d (No. 122) and the conventional cell measures 7.092, 7.092 and 5.158 Å, with angles of 90.00, 90.00 and 90.00 degrees. The inequivalent atoms are Ti at (0.238, 0.250, 0.125), Re at (0.000, 0.000, 0.000) and Si at (0.000, 0.000, 0.500).